Entry 1:
DFT (GGA+U) results for a relaxed structure of KLa2VO5.

Summary:
- space-group type = P4/mbm, No. 127
- crystal system = tetragonal
- raw total energy (eV/atom) = -7.40

a = 5.806 Å, b = 6.998 Å, c = 6.998 Å
α = 90.00°, β = 90.00°, γ = 90.00°
Fractional positions:
La  0.500  0.819  0.681
O  0.761  0.629  0.871
V  0.000  0.000  0.500
O  0.761  0.371  0.129
La  0.500  0.181  0.319
O  0.239  0.371  0.129
O  0.239  0.871  0.371
La  0.500  0.319  0.819
K  0.000  0.000  0.000
O  0.500  0.000  0.000
O  0.500  0.500  0.500
O  0.239  0.629  0.871
O  0.761  0.871  0.371
K  0.000  0.500  0.500
O  0.761  0.129  0.629
V  0.000  0.500  0.000
La  0.500  0.681  0.181
O  0.239  0.129  0.629

Entry 2:
DFT (GGA+U) results for a relaxed structure of KLaVO4.

Summary:
- space-group type = P2_1/m, No. 11
- crystal system = monoclinic
- raw total energy (eV/atom) = -7.20

a = 6.285 Å, b = 5.987 Å, c = 7.555 Å
α = 90.00°, β = 99.91°, γ = 90.00°
Site moments in Bohr magnetons follow the coordinates.
Fractional positions:
O  0.911  0.480  0.667  0.01
V  0.702  0.250  0.653  0.96
La  0.813  0.750  0.437  0.02
K  0.674  0.750  0.896  0.00
O  0.089  0.980  0.333  0.01
La  0.187  0.250  0.563  0.02
O  0.446  0.750  0.565  -0.04
K  0.326  0.250  0.104  0.00
O  0.554  0.250  0.435  -0.04
O  0.517  0.250  0.808  -0.03
O  0.911  0.020  0.667  0.01
V  0.298  0.750  0.347  0.96
O  0.483  0.750  0.192  -0.03
O  0.089  0.520  0.333  0.01

Entry 3:
DFT (GGA+U) results for a relaxed structure of K2LaVO4.

Summary:
- space-group type = C2/c, No. 15
- crystal system = monoclinic
- raw total energy (eV/atom) = -6.42

a = 6.879 Å, b = 6.879 Å, c = 7.498 Å
α = 115.88°, β = 115.88°, γ = 88.93°
Site moments in Bohr magnetons follow the coordinates.
Fractional positions:
O  0.851  0.830  0.064  -0.05
K  0.500  0.500  0.000  0.00
K  0.500  0.000  0.000  0.00
O  0.838  0.261  0.080  -0.01
V  0.500  0.500  0.500  1.86
O  0.761  0.338  0.580  -0.01
K  0.500  0.000  0.500  0.00
La  0.000  0.500  0.500  0.01
O  0.670  0.649  0.436  -0.05
O  0.149  0.170  0.936  -0.05
O  0.239  0.662  0.420  -0.01
O  0.330  0.351  0.564  -0.05
V  0.000  0.000  0.000  1.86
K  0.000  0.000  0.500  0.00
O  0.162  0.739  0.920  -0.01
La  0.000  0.500  0.000  0.01

Entry 4:
DFT (GGA+U) results for a relaxed structure of K3La3VO8.

Summary:
- space-group type = C2/m, No. 12
- crystal system = monoclinic
- raw total energy (eV/atom) = -6.85

a = 7.140 Å, b = 7.102 Å, c = 7.525 Å
α = 118.39°, β = 90.00°, γ = 120.18°
Site moments in Bohr magnetons follow the coordinates.
Fractional positions:
K  0.000  0.500  0.000  0.00
O  0.233  0.032  0.329  0.00
K  0.500  0.500  0.000  0.00
O  0.201  0.968  0.671  0.00
O  0.806  0.613  0.332  -0.03
K  0.000  0.000  0.000  0.00
O  0.733  0.465  0.694  0.00
La  0.000  0.500  0.500  0.00
O  0.267  0.535  0.306  0.00
O  0.194  0.387  0.668  -0.03
O  0.767  0.968  0.671  0.00
O  0.799  0.032  0.329  0.00
V  0.000  0.000  0.500  1.04
La  0.500  0.000  0.500  0.00
La  0.500  0.500  0.500  0.00

raw total energy of number 2 (KLaVO4)?
-7.20 eV/atom